Entry 1:
Here is a geometry-optimized LiTl2Ir2 structure from Alexandria. Energies are from PBE.

Results
The magnetization comes out at 0.0 μB/f.u. The value obtained for the total DFT energy (no corrections) is -4.613 eV/atom.

```
data_LiTl2Ir2
_chemical_formula_sum 'Li2 Tl4 Ir4'
_cell_length_a 7.7773
_cell_length_b 7.7773
_cell_length_c 3.2034
_cell_angle_alpha 90.00
_cell_angle_beta 90.00
_cell_angle_gamma 90.00
_space_group_name_H-M_alt 'P 4/m b m'
_space_group_IT_number 127
_space_group_name_Hall '-P 4 2ab'
loop_
_atom_site_label
_atom_site_type_symbol
_atom_site_fract_x
_atom_site_fract_y
_atom_site_fract_z
Li1 Li 0.0000 0.0000 0.0000
Tl1 Tl 0.1729 0.3271 0.5000
Ir1 Ir 0.1263 0.6263 0.0000
```

***

Entry 2:
Here is a geometry-optimized LiTl3Ir structure from Alexandria. Energies are from PBE.

Results
The distance to the lowest polymorph of the same formula comes out at 0.0 meV per atom. The magnetization comes out at 0.0 μB/f.u. The value obtained for the total DFT energy (no corrections) is -3.390 eV/atom.

```
data_LiTl3Ir
_chemical_formula_sum 'Li1 Tl3 Ir1'
_cell_length_a 5.3080
_cell_length_b 5.3080
_cell_length_c 5.3080
_cell_angle_alpha 90.00
_cell_angle_beta 90.00
_cell_angle_gamma 90.00
_space_group_name_H-M_alt 'P m -3 m'
_space_group_IT_number 221
_space_group_name_Hall '-P 4 2 3'
loop_
_atom_site_label
_atom_site_type_symbol
_atom_site_fract_x
_atom_site_fract_y
_atom_site_fract_z
Li1 Li 0.0000 0.0000 0.0000
Tl1 Tl 0.0000 0.5000 0.5000
Ir1 Ir 0.5000 0.5000 0.5000
```

***

Entry 3:
Here is a geometry-optimized LiTlIr2 structure from Alexandria. Energies are from PBE.

Results
The magnetization comes out at 0.0 μB/f.u. The value obtained for the total DFT energy (no corrections) is -5.223 eV/atom.

```
data_LiTlIr2
_chemical_formula_sum 'Li1 Tl1 Ir2'
_cell_length_a 3.2754
_cell_length_b 3.2754
_cell_length_c 6.1600
_cell_angle_alpha 90.00
_cell_angle_beta 90.00
_cell_angle_gamma 90.00
_space_group_name_H-M_alt 'P 4 m m'
_space_group_IT_number 99
loop_
_space_group_symop_operation_xyz
'x,y,z'
'-y,x,z'
'-x,-y,z'
'y,-x,z'
'-x,y,z'
'y,x,z'
'x,-y,z'
'-y,-x,z'
loop_
_atom_site_label
_atom_site_type_symbol
_atom_site_fract_x
_atom_site_fract_y
_atom_site_fract_z
Li1 Li 0.0000 0.0000 0.0000
Tl1 Tl 0.5000 0.5000 0.2605
Ir1 Ir 0.0000 0.0000 0.5697
Ir2 Ir 0.5000 0.5000 0.7712
```

***

Look up the magnetization of the second one. 0.0 μB/f.u.

***

Copy entry 3 word for word.
Here is a geometry-optimized LiTlIr2 structure from Alexandria. Energies are from PBE.

Results
The magnetization comes out at 0.0 μB/f.u. The value obtained for the total DFT energy (no corrections) is -5.223 eV/atom.

```
data_LiTlIr2
_chemical_formula_sum 'Li1 Tl1 Ir2'
_cell_length_a 3.2754
_cell_length_b 3.2754
_cell_length_c 6.1600
_cell_angle_alpha 90.00
_cell_angle_beta 90.00
_cell_angle_gamma 90.00
_space_group_name_H-M_alt 'P 4 m m'
_space_group_IT_number 99
loop_
_space_group_symop_operation_xyz
'x,y,z'
'-y,x,z'
'-x,-y,z'
'y,-x,z'
'-x,y,z'
'y,x,z'
'x,-y,z'
'-y,-x,z'
loop_
_atom_site_label
_atom_site_type_symbol
_atom_site_fract_x
_atom_site_fract_y
_atom_site_fract_z
Li1 Li 0.0000 0.0000 0.0000
Tl1 Tl 0.5000 0.5000 0.2605
Ir1 Ir 0.0000 0.0000 0.5697
Ir2 Ir 0.5000 0.5000 0.7712
```

***

magnetization of number 3 (LiTlIr2)? 0.0 μB/f.u.